VASP calculation (PBE) on crystalline KFe2Se at its relaxed geometry.

Structure (POSCAR):
```
KFe2Se
1.0
3.3121 0.0000 0.0000
0.0000 3.3214 0.0000
0.0000 0.0000 7.4732
K Fe Se
1 2 1
Direct
0.0000 0.0000 0.5111
0.0000 0.0000 0.0167
0.5000 0.5000 0.1466
0.5000 0.5000 0.8256
```

Formation energy from raw total energies   210 meV per atom
DFT total energy   -5.167 eV/atom

***

VASP calculation (PBE) on crystalline BaNaIn2 at its relaxed geometry.

Structure (POSCAR):
```
BaNaIn2
1.0
5.2758 0.0000 0.0000
-2.6379 4.3905 -1.3079
0.0000 -1.2188 6.4883
In Na Ba
2 1 1
Direct
0.9591 0.9182 0.8772
0.5409 0.0818 0.6228
0.2500 0.5000 0.7500
0.7500 0.5000 0.2500
```

ΔE to the lowest computed polymorph   13.6 meV per atom
Energy of formation   -0.232 eV/atom
DFT total energy   -2.412 eV/atom

***

VASP calculation (PBE) on crystalline NpUZn at its relaxed geometry.

Structure (POSCAR):
```
NpUZn
1.0
-4.8122 -0.9875 1.6811
0.2416 -5.5923 -2.5933
4.3764 -2.3828 5.5460
Np U Zn
4 4 4
Direct
0.0744 0.0463 0.7122
0.5744 0.4537 0.2122
0.9256 0.9537 0.2878
0.4256 0.5463 0.7878
0.6495 0.1578 0.4701
0.8505 0.6578 0.0299
0.1495 0.3422 0.9701
0.3505 0.8422 0.5299
0.6351 0.1018 0.8975
0.3649 0.8982 0.1025
0.1351 0.3982 0.3975
0.8649 0.6018 0.6025
```

Energy of formation   0.264 eV/atom
DFT total energy   -8.237 eV/atom

***

Question: Which of these has the highest DFT total energy?
Answer: BaNaIn2